(1)
MgReRu2: relaxed, GGA-PBE.

Calculated values
The space-group type is Cmmm (65). Its calculated volume is 60.3 Å³ per cell. The energy of formation comes out at 0.260 eV per atom.

Cell and atoms, written as extended XYZ:
```
4
Lattice="-1.2105 2.3872 -0.5401 -0.1901 -0.8267 2.5955 7.5892 4.2826 1.9199" Properties=species:S:1:pos:R:3 pbc="T T T"
Mg 1.1970 1.8509 1.5076
Re 4.9916 3.9923 2.4676
Ru 7.5458 4.2582 1.9089
Ru 3.8380 2.1658 0.9709
```

(2)
Tm2BiC: relaxed, GGA-PBE.

Calculated values
The space-group type is R-3m (166). Its calculated volume is 87.8 Å³ per cell. The energy of formation comes out at -0.609 eV per atom.

Cell and atoms, written as extended XYZ:
```
4
Lattice="-1.1076 -3.3743 -0.7574 2.3454 -2.7659 0.1875 -1.4243 -3.1032 7.2033" Properties=species:S:1:pos:R:3 pbc="T T T"
C 0.0000 0.0000 0.0000
Tm 0.1065 -2.2228 1.0420
Tm -0.2931 -7.0206 5.5915
Bi -0.0933 -4.6217 3.3167
```

(3)
YMg8Rh2: relaxed, GGA-PBE.

Calculated values
The space-group type is C2/m (12). Its calculated volume is 244.2 Å³ per cell. The energy of formation comes out at -0.147 eV per atom.

Cell and atoms, written as extended XYZ:
```
11
Lattice="-4.3083 -2.8834 0.3011 1.1758 -4.1529 -5.8405 1.5066 -3.3851 6.2460" Properties=species:S:1:pos:R:3 pbc="T T T"
Y -2.1542 -1.4417 0.1506
Mg -3.3917 -4.0635 1.9354
Mg -3.4780 -4.2639 -1.2184
Mg -0.0650 -3.9295 0.2514
Mg -0.7361 -5.0322 3.1636
Mg -0.8899 -5.3892 -2.4570
Mg -1.5609 -6.4919 0.4552
Mg 1.8520 -6.1575 1.9249
Mg 1.7657 -6.3579 -1.2289
Rh 1.2777 -3.9163 -2.1156
Rh 1.4046 -3.6217 2.5210
```